1.
Here is crystalline MgCo2Au at its relaxed geometry from Alexandria via LeMat-Bulk. Energies are from GGA-PBE.

a = 3.732 Å, b = 3.744 Å, c = 4.040 Å
α = 90.00°, β = 90.00°, γ = 90.00°
Fractional positions:
Mg1 0.000 0.000 0.000
Co1 0.000 0.500 0.500
Co2 0.500 0.000 0.500
Au1 0.500 0.500 0.000

ΔE_f in eV/atom: 0.034
Calculated density in Mg/m³: 9.98
Symmetry: Pmmm


2.
Here is crystalline Y3TlO at its relaxed geometry from Alexandria via LeMat-Bulk. Energies are from GGA-PBE.

a = 6.661 Å, b = 6.661 Å, c = 6.581 Å
α = 90.00°, β = 90.00°, γ = 83.60°
Fractional positions:
Y1 0.000 0.000 0.000
Y2 0.000 0.000 0.500
Y3 0.153 0.475 0.750
Y4 0.475 0.153 0.250
Y5 0.525 0.847 0.750
Y6 0.847 0.525 0.250
Tl1 0.294 0.706 0.250
Tl2 0.706 0.294 0.750
O1 0.443 0.557 0.750
O2 0.557 0.443 0.250

Calculated density in Mg/m³: 5.58
Formation energy from raw total energies in eV per atom: -0.83
Symmetry: Cmcm


3.
Here is crystalline AlRhBr2 at its relaxed geometry from Alexandria via LeMat-Bulk. Energies are from GGA-PBE.

a = 6.785 Å, b = 6.785 Å, c = 6.785 Å
α = 90.00°, β = 90.00°, γ = 90.00°
Fractional positions:
Al1 0.000 0.000 0.000
Al2 0.000 0.500 0.500
Al3 0.500 0.000 0.500
Al4 0.500 0.500 0.000
Rh1 0.250 0.250 0.750
Rh2 0.250 0.750 0.250
Rh3 0.750 0.250 0.250
Rh4 0.750 0.750 0.750
Br1 0.000 0.000 0.500
Br2 0.000 0.500 0.000
Br3 0.250 0.250 0.250
Br4 0.250 0.750 0.750
Br5 0.500 0.000 0.000
Br6 0.500 0.500 0.500
Br7 0.750 0.250 0.750
Br8 0.750 0.750 0.250

Calculated density in Mg/m³: 6.16
Formation energy from raw total energies in eV per atom: 0.48
Symmetry: F-43m


Number 1: total magnetic moment 3.0 μB/cell. Number 2: total magnetic moment 0.0 μB/cell. Number 3: total magnetic moment 0.1 μB/cell.